(1)
# MnCu2Te

Crystalline MnCu2Te at its relaxed geometry (PBE, Alexandria).

Properties
As for the raw total energy: -4.923 eV per atom. The crystal system is trigonal. The value obtained for the theoretical density is 7.271 Mg/m³. Its space group is No. 160. The value obtained for the formation energy (no corrections) is 0.812 eV per formula unit.

a b c (Å): 4.118 4.118 14.444
angles (deg): 90.00 90.00 120.00
Atoms (fractional coordinates):
1 Mn 0.000 0.000 0.000
2 Mn 0.333 0.667 0.667
3 Mn 0.667 0.333 0.333
4 Cu 0.000 0.000 0.402
5 Cu 0.000 0.000 0.782
6 Cu 0.333 0.667 0.069
7 Cu 0.333 0.667 0.449
8 Cu 0.667 0.333 0.116
9 Cu 0.667 0.333 0.735
10 Te 0.000 0.000 0.215
11 Te 0.333 0.667 0.882
12 Te 0.667 0.333 0.548

(2)
# Na3YNb

Crystalline Na3YNb at its relaxed geometry (PBE, Alexandria).

Properties
As for the raw total energy: -2.136 eV per atom. The calculation puts the energy above the most stable polymorph in this dataset at 0.597 eV per atom. The formation energy is 1.96 eV per atom. The crystal system is cubic. The value obtained for the theoretical density is 2.597 Mg/m³. Its space group is No. 221.

a b c (Å): 5.433 5.433 5.433
angles (deg): 90.00 90.00 90.00
Atoms (fractional coordinates):
1 Na 0.000 0.000 0.500
2 Na 0.000 0.500 0.000
3 Na 0.500 0.000 0.000
4 Y 0.000 0.000 0.000
5 Nb 0.500 0.500 0.500

(3)
# Tm3Ag4

Crystalline Tm3Ag4 at its relaxed geometry (PBE, Alexandria).

Properties
As for the raw total energy: -3.656 eV per atom. The formation energy is -0.11 eV per atom. The crystal system is trigonal. The value obtained for the theoretical density is 8.920 Mg/m³. Its space group is No. 166.

a b c (Å): 8.638 8.638 8.638
angles (deg): 33.48 33.48 33.48
Atoms (fractional coordinates):
1 Tm 0.000 0.000 0.000
2 Tm 0.244 0.244 0.244
3 Tm 0.756 0.756 0.756
4 Ag 0.122 0.122 0.122
5 Ag 0.371 0.371 0.371
6 Ag 0.629 0.629 0.629
7 Ag 0.878 0.878 0.878

(4)
# Tl4TeAs

Crystalline Tl4TeAs at its relaxed geometry (PBE, Alexandria).

Properties
As for the raw total energy: -2.984 eV per atom. The calculation puts the energy above the most stable polymorph in this dataset at 0.000 eV per atom. The crystal system is monoclinic. The value obtained for the theoretical density is 8.575 Mg/m³. Its space group is No. 15. The value obtained for the formation energy (no corrections) is -0.646 eV per formula unit.

a b c (Å): 8.731 8.731 5.888
angles (deg): 100.34 100.34 111.71
Atoms (fractional coordinates):
1 Tl 0.047 0.695 0.912
2 Tl 0.224 0.381 0.658
3 Tl 0.305 0.953 0.588
4 Tl 0.381 0.224 0.158
5 Tl 0.619 0.776 0.842
6 Tl 0.695 0.047 0.412
7 Tl 0.776 0.619 0.342
8 Tl 0.953 0.305 0.088
9 Te 0.381 0.619 0.250
10 Te 0.619 0.381 0.750
11 As 0.010 0.990 0.250
12 As 0.990 0.010 0.750

(5)
# Sm2Sb2O

Crystalline Sm2Sb2O at its relaxed geometry (PBE, Alexandria).

Properties
As for the raw total energy: -6.059 eV per atom. The crystal system is monoclinic. The value obtained for the theoretical density is 6.429 Mg/m³. Its space group is No. 12. The value obtained for the formation energy (no corrections) is -7.652 eV per formula unit.

a b c (Å): 6.541 6.541 8.916
angles (deg): 114.15 114.15 59.31
Atoms (fractional coordinates):
1 Sm 0.085 0.085 0.380
2 Sm 0.307 0.307 0.866
3 Sm 0.693 0.693 0.134
4 Sm 0.915 0.915 0.620
5 Sb 0.147 0.147 0.075
6 Sb 0.440 0.440 0.617
7 Sb 0.560 0.560 0.383
8 Sb 0.853 0.853 0.925
9 O 0.121 0.121 0.648
10 O 0.879 0.879 0.352

(6)
# Hf3InCu

Crystalline Hf3InCu at its relaxed geometry (PBE, Alexandria).

Properties
As for the raw total energy: -7.022 eV per atom. The calculation puts the energy above the most stable polymorph in this dataset at 0.169 eV per atom. The formation energy is 0.32 eV per atom. The crystal system is cubic. The value obtained for the theoretical density is 10.293 Mg/m³. Its space group is No. 221.

a b c (Å): 4.865 4.865 4.865
angles (deg): 90.00 90.00 90.00
Atoms (fractional coordinates):
1 Hf 0.000 0.000 0.500
2 Hf 0.000 0.500 0.000
3 Hf 0.500 0.000 0.000
4 In 0.500 0.500 0.500
5 Cu 0.000 0.000 0.000

(7)
# Ac2Sm2Ho

Crystalline Ac2Sm2Ho at its relaxed geometry (PBE, Alexandria).

Properties
As for the raw total energy: -4.382 eV per atom. The calculation puts the energy above the most stable polymorph in this dataset at 0.000 eV per atom. The formation energy is 0.06 eV per atom. The crystal system is monoclinic. The value obtained for the theoretical density is 8.080 Mg/m³. Its space group is No. 15.

a b c (Å): 8.894 8.894 7.158
angles (deg): 103.69 103.69 43.66
Atoms (fractional coordinates):
1 Ac 0.108 0.283 0.153
2 Ac 0.283 0.108 0.653
3 Ac 0.717 0.892 0.347
4 Ac 0.892 0.717 0.847
5 Sm 0.322 0.490 0.551
6 Sm 0.490 0.322 0.051
7 Sm 0.510 0.678 0.949
8 Sm 0.678 0.510 0.449
9 Ho 0.089 0.911 0.250
10 Ho 0.911 0.089 0.750

(8)
# FeRh2Br

Crystalline FeRh2Br at its relaxed geometry (PBE, Alexandria).

Properties
As for the raw total energy: -5.527 eV per atom. The calculation puts the energy above the most stable polymorph in this dataset at 0.385 eV per atom. The crystal system is cubic. The value obtained for the theoretical density is 9.258 Mg/m³. Its space group is No. 216. The value obtained for the formation energy (no corrections) is 2.729 eV per formula unit.

a b c (Å): 6.258 6.258 6.258
angles (deg): 90.00 90.00 90.00
Atoms (fractional coordinates):
1 Fe 0.000 0.000 0.000
2 Fe 0.000 0.500 0.500
3 Fe 0.500 0.000 0.500
4 Fe 0.500 0.500 0.000
5 Rh 0.000 0.000 0.500
6 Rh 0.000 0.500 0.000
7 Rh 0.250 0.250 0.250
8 Rh 0.250 0.750 0.750
9 Rh 0.500 0.000 0.000
10 Rh 0.500 0.500 0.500
11 Rh 0.750 0.250 0.750
12 Rh 0.750 0.750 0.250
13 Br 0.250 0.250 0.750
14 Br 0.250 0.750 0.250
15 Br 0.750 0.250 0.250
16 Br 0.750 0.750 0.750

(9)
# ZnAg2Pt

Crystalline ZnAg2Pt at its relaxed geometry (PBE, Alexandria).

Properties
As for the raw total energy: -3.332 eV per atom. The formation energy is -0.08 eV per atom. The crystal system is trigonal. The value obtained for the theoretical density is 12.151 Mg/m³. Its space group is No. 166.

a b c (Å): 2.840 2.840 27.945
angles (deg): 90.00 90.00 120.00
Atoms (fractional coordinates):
1 Zn 0.000 0.000 0.000
2 Zn 0.333 0.667 0.667
3 Zn 0.667 0.333 0.333
4 Ag 0.000 0.000 0.252
5 Ag 0.000 0.000 0.748
6 Ag 0.333 0.667 0.414
7 Ag 0.333 0.667 0.919
8 Ag 0.667 0.333 0.081
9 Ag 0.667 0.333 0.586
10 Pt 0.000 0.000 0.500
11 Pt 0.333 0.667 0.167
12 Pt 0.667 0.333 0.833

(10)
# KPrSn

Crystalline KPrSn at its relaxed geometry (PBE, Alexandria).

Properties
As for the raw total energy: -3.523 eV per atom. The formation energy is -0.23 eV per atom. The crystal system is trigonal. The value obtained for the theoretical density is 3.717 Mg/m³. Its space group is No. 166.

a b c (Å): 10.860 10.860 10.860
angles (deg): 29.04 29.04 29.04
Atoms (fractional coordinates):
1 K 0.124 0.124 0.124
2 K 0.876 0.876 0.876
3 Pr 0.295 0.295 0.295
4 Pr 0.705 0.705 0.705
5 Sn 0.399 0.399 0.399
6 Sn 0.601 0.601 0.601

(11)
# Sr2FeOs

Crystalline Sr2FeOs at its relaxed geometry (PBE, Alexandria).

Properties
As for the raw total energy: -4.824 eV per atom. The calculation puts the energy above the most stable polymorph in this dataset at 0.720 eV per atom. The formation energy is 0.94 eV per atom. The crystal system is cubic. The value obtained for the theoretical density is 7.701 Mg/m³. Its space group is No. 216.

a b c (Å): 7.136 7.136 7.136
angles (deg): 90.00 90.00 90.00
Atoms (fractional coordinates):
1 Sr 0.000 0.000 0.000
2 Sr 0.000 0.500 0.500
3 Sr 0.250 0.250 0.250
4 Sr 0.250 0.750 0.750
5 Sr 0.500 0.000 0.500
6 Sr 0.500 0.500 0.000
7 Sr 0.750 0.250 0.750
8 Sr 0.750 0.750 0.250
9 Fe 0.000 0.000 0.500
10 Fe 0.000 0.500 0.000
11 Fe 0.500 0.000 0.000
12 Fe 0.500 0.500 0.500
13 Os 0.250 0.250 0.750
14 Os 0.250 0.750 0.250
15 Os 0.750 0.250 0.250
16 Os 0.750 0.750 0.750

(12)
# ZrVBr

Crystalline ZrVBr at its relaxed geometry (PBE, Alexandria).

Properties
As for the raw total energy: -6.739 eV per atom. The calculation puts the energy above the most stable polymorph in this dataset at 0.000 eV per atom. The crystal system is monoclinic. The value obtained for the theoretical density is 5.539 Mg/m³. Its space group is No. 8. The value obtained for the formation energy (no corrections) is -0.877 eV per formula unit.

a b c (Å): 4.818 4.523 12.222
angles (deg): 90.00 90.20 90.00
Atoms (fractional coordinates):
1 Zr 0.000 0.000 0.000
2 Zr 0.004 0.500 0.821
3 Zr 0.500 0.500 0.000
4 Zr 0.504 0.000 0.821
5 V 0.419 0.500 0.242
6 V 0.488 0.000 0.143
7 V 0.919 0.000 0.242
8 V 0.988 0.500 0.143
9 Br 0.000 0.500 0.368
10 Br 0.006 0.000 0.677
11 Br 0.500 0.000 0.368
12 Br 0.506 0.500 0.677

- What is the theoretical density in the eleventh record?
  7.701 Mg/m³

- Which formula does entry 6 have?
  Hf3InCu

- Which value of theoretical density does entry 10 give?
  3.717 Mg/m³